Entry from Alexandria via LeMat-Bulk: an optimized crystal structure of RbWF6 (GGA+U).

Unit cell a=5.3860 b=5.3860 c=6.8815 alpha=97.17 beta=122.62 gamma=98.73
Site moments in Bohr magnetons follow the coordinates.
Element x y z (fractional)
1 Rb 0.0000 0.5000 0.5000  0.00
2 W 0.0000 0.0000 0.0000  0.98
3 F 0.6368 0.7247 0.7518  0.02
4 F 0.0271 0.1150 0.7518  0.02
5 F 0.9729 0.8850 0.2482  0.02
6 F 0.3632 0.2753 0.2482  0.02
7 F 0.7635 0.2333 0.9968  -0.01
8 F 0.2365 0.7667 0.0032  -0.01

Symmetry: C2/m
Electronic total energy: -0.1933 hartree per atom
V: 161 Å³/cell
DOS at the Fermi energy: 0.000 states/eV/f.u.